# 1
Tc4SbOs: relaxed, GGA-PBEsol.

Results
Energy relative to the elements, uncorrected   626.1 meV/atom
Total magnetic moment   0.00 Bohr magnetons per cell
Density   12.66 Mg/m³

Cell lengths 5.0736, 5.0736, 5.0736 Å; angles 60.00, 60.00, 60.00 degrees
With the nearest neighbours (Å) after each atom.
Atoms (fractional coordinates):
Tc: 0.8725 0.3758 0.3758  6 Tc 2.52-2.55
Tc: 0.3758 0.3758 0.8725  6 Tc 2.52-2.55
Tc: 0.3758 0.3758 0.3758  6 Tc 2.52-2.55
Tc: 0.3758 0.8725 0.3758  6 Tc 2.52-2.55
Sb: 0.0000 0.0000 0.0000  12 Tc 2.98, 4 Os 3.11
Os: 0.7500 0.7500 0.7500  12 Tc 2.97, 4 Sb 3.11



# 2
MgPt4: relaxed, GGA-PBEsol.

Results
Calculated total energy   -6.298 eV per atom
Total magnetic moment   0.00 Bohr magnetons per cell
Density   17.69 Mg/m³

Cell lengths 3.9535, 4.7970, 4.7970 Å; angles 80.22, 65.66, 65.66 degrees
With the nearest neighbours (Å) after each atom.
Atoms (fractional coordinates):
Mg: 0.0000 0.0000 0.0000  12 Pt 2.74-2.79
Pt: 0.1982 0.4044 0.1991  3 Mg 2.74-2.79, 9 Pt 2.76-2.79
Pt: 0.8018 0.5956 0.8009  3 Mg 2.74-2.79, 9 Pt 2.76-2.79
Pt: 0.6026 0.1991 0.5956  3 Mg 2.74-2.79, 9 Pt 2.76-2.79
Pt: 0.3974 0.8009 0.4044  3 Mg 2.74-2.79, 9 Pt 2.76-2.79



# 3
Ta2BeCd: relaxed, GGA-PBEsol.

Results
Calculated total energy   -7.022 eV per atom
Total magnetic moment   0.00 Bohr magnetons per cell
Density   12.54 Mg/m³

Cell lengths 4.4903, 4.4903, 4.4903 Å; angles 60.00, 60.00, 60.00 degrees
With the nearest neighbours (Å) after each atom.
Atoms (fractional coordinates):
Ta: 0.7500 0.7500 0.7500  4 Cd 2.75, 4 Be 2.75
Ta: 0.2500 0.2500 0.2500  4 Cd 2.75, 4 Be 2.75
Cd: 0.5000 0.5000 0.5000  8 Ta 2.75
Be: 0.0000 0.0000 0.0000  8 Ta 2.75



# 4
Y6Ti4Al43: relaxed, GGA-PBEsol.

Results
Calculated total energy   -5.065 eV per atom
Total magnetic moment   0.00 Bohr magnetons per cell
Density   3.38 Mg/m³

Cell lengths 10.9787, 10.9787, 17.7371 Å; angles 90.00, 90.00, 120.00 degrees
With the nearest neighbours (Å) after each atom.
Atoms (fractional coordinates):
Y: 0.4711 0.4711 0.4038  14 Al 3.05-3.38
Y: 0.5289 0.0000 0.4038  14 Al 3.05-3.38
Y: 0.0000 0.5289 0.4038  14 Al 3.05-3.38
Y: 0.5289 0.5289 0.5962  14 Al 3.05-3.38
Y: 0.0000 0.4711 0.9038  14 Al 3.05-3.38
Y: 0.4711 0.4711 0.0962  14 Al 3.05-3.38
Y: 0.5289 0.0000 0.0962  14 Al 3.05-3.38
Y: 0.0000 0.4711 0.5962  14 Al 3.05-3.38
Y: 0.5289 0.5289 0.9038  14 Al 3.05-3.38
Y: 0.4711 0.0000 0.5962  14 Al 3.05-3.38
Y: 0.4711 0.0000 0.9038  14 Al 3.05-3.38
Y: 0.0000 0.5289 0.0962  14 Al 3.05-3.38
Ti: 0.2721 0.2721 0.2500  10 Al 2.59-2.70
Ti: 0.0000 0.2721 0.7500  10 Al 2.59-2.70
Ti: 0.7279 0.0000 0.2500  10 Al 2.59-2.70
Ti: 0.2721 0.0000 0.7500  10 Al 2.59-2.70
Ti: 0.0000 0.7279 0.2500  10 Al 2.59-2.70
Ti: 0.0000 0.0000 0.5000  12 Al 2.68-2.82
Ti: 0.7279 0.7279 0.7500  10 Al 2.59-2.70
Ti: 0.0000 0.0000 0.0000  12 Al 2.68-2.82
Al: 0.1591 0.7658 0.8364  1 Ti 2.70, 7 Al 2.72-3.03
Al: 0.6667 0.3333 0.6256  9 Al 2.72-2.82
Al: 0.5053 0.7527 0.0000  6 Al 2.73-2.83
Al: 0.4947 0.2473 0.5000  6 Al 2.73-2.83
Al: 0.6067 0.7658 0.1636  1 Ti 2.70, 7 Al 2.72-3.03
Al: 0.1591 0.3933 0.3364  1 Ti 2.70, 7 Al 2.72-3.03
Al: 0.0000 0.8440 0.3836  2 Ti 2.68-2.69, 9 Al 2.72-2.97
Al: 0.3933 0.1591 0.3364  1 Ti 2.70, 7 Al 2.72-3.03
Al: 0.3333 0.6667 0.3744  9 Al 2.72-2.82
Al: 0.8531 0.0000 0.7500  2 Ti 2.59, 10 Al 2.79-2.90
Al: 0.8440 0.8440 0.6164  2 Ti 2.68-2.69, 9 Al 2.72-2.97
Al: 0.7527 0.2473 0.0000  6 Al 2.73-2.83
Al: 0.3333 0.6667 0.1256  9 Al 2.72-2.82
Al: 0.1495 0.5531 0.7500  1 Ti 2.67, 7 Al 2.75-2.84
Al: 0.2342 0.3933 0.6636  1 Ti 2.70, 7 Al 2.72-3.03
Al: 0.3933 0.2342 0.8364  1 Ti 2.70, 7 Al 2.72-3.03
Al: 0.3933 0.1591 0.1636  1 Ti 2.70, 7 Al 2.72-3.03
Al: 0.5964 0.1495 0.2500  1 Ti 2.67, 7 Al 2.75-2.84
Al: 0.7473 0.0000 0.9712  9 Al 2.73-2.96, 1 Ti 2.82
Al: 0.3333 0.6667 0.6256  9 Al 2.72-2.82
Al: 0.4036 0.8505 0.7500  1 Ti 2.67, 7 Al 2.75-2.84
Al: 0.6667 0.3333 0.1256  9 Al 2.72-2.82
Al: 0.6067 0.8409 0.8364  1 Ti 2.70, 7 Al 2.72-3.03
Al: 0.2473 0.4947 0.5000  6 Al 2.73-2.83
Al: 0.6667 0.3333 0.3744  9 Al 2.72-2.82
Al: 0.8440 0.0000 0.3836  2 Ti 2.68-2.69, 9 Al 2.72-2.97
Al: 0.7527 0.5053 0.5000  6 Al 2.73-2.83
Al: 0.5964 0.4469 0.7500  1 Ti 2.67, 7 Al 2.75-2.84
Al: 0.4469 0.5964 0.7500  1 Ti 2.67, 7 Al 2.75-2.84
Al: 0.0000 0.1560 0.6164  2 Ti 2.68-2.69, 9 Al 2.72-2.97
Al: 0.7473 0.7473 0.4712  9 Al 2.73-2.96, 1 Ti 2.82
Al: 0.7658 0.1591 0.8364  1 Ti 2.70, 7 Al 2.72-3.03
Al: 0.8440 0.0000 0.1164  2 Ti 2.68-2.69, 9 Al 2.72-2.97
Al: 0.7658 0.6067 0.3364  1 Ti 2.70, 7 Al 2.72-3.03
Al: 0.7473 0.7473 0.0288  9 Al 2.73-2.96, 1 Ti 2.82
Al: 0.2527 0.2527 0.5288  9 Al 2.73-2.96, 1 Ti 2.82
Al: 0.6067 0.7658 0.3364  1 Ti 2.70, 7 Al 2.72-3.03
Al: 0.8531 0.8531 0.2500  2 Ti 2.59, 10 Al 2.79-2.90
Al: 0.8440 0.8440 0.8836  2 Ti 2.68-2.69, 9 Al 2.72-2.97
Al: 0.1591 0.7658 0.6636  1 Ti 2.70, 7 Al 2.72-3.03
Al: 0.6667 0.3333 0.8744  9 Al 2.72-2.82
Al: 0.3933 0.2342 0.6636  1 Ti 2.70, 7 Al 2.72-3.03
Al: 0.2342 0.8409 0.3364  1 Ti 2.70, 7 Al 2.72-3.03
Al: 0.2527 0.0000 0.0288  9 Al 2.73-2.96, 1 Ti 2.82
Al: 0.2342 0.3933 0.8364  1 Ti 2.70, 7 Al 2.72-3.03
Al: 0.0000 0.1560 0.8836  2 Ti 2.68-2.69, 9 Al 2.72-2.97
Al: 0.8505 0.4036 0.7500  1 Ti 2.67, 7 Al 2.75-2.84
Al: 0.0000 0.7473 0.9712  9 Al 2.73-2.96, 1 Ti 2.82
Al: 0.5531 0.1495 0.7500  1 Ti 2.67, 7 Al 2.75-2.84
Al: 0.7658 0.1591 0.6636  1 Ti 2.70, 7 Al 2.72-3.03
Al: 0.8409 0.2342 0.3364  1 Ti 2.70, 7 Al 2.72-3.03
Al: 0.8409 0.2342 0.1636  1 Ti 2.70, 7 Al 2.72-3.03
Al: 0.1560 0.1560 0.3836  2 Ti 2.68-2.69, 9 Al 2.72-2.97
Al: 0.1469 0.0000 0.2500  2 Ti 2.59, 10 Al 2.79-2.90
Al: 0.4469 0.8505 0.2500  1 Ti 2.67, 7 Al 2.75-2.84
Al: 0.1469 0.1469 0.7500  2 Ti 2.59, 10 Al 2.79-2.90
Al: 0.1560 0.0000 0.8836  2 Ti 2.68-2.69, 9 Al 2.72-2.97
Al: 0.0000 0.2527 0.0288  9 Al 2.73-2.96, 1 Ti 2.82
Al: 0.4036 0.5531 0.2500  1 Ti 2.67, 7 Al 2.75-2.84
Al: 0.2473 0.7527 0.0000  6 Al 2.73-2.83
Al: 0.3333 0.6667 0.8744  9 Al 2.72-2.82
Al: 0.5053 0.7527 0.5000  6 Al 2.73-2.83
Al: 0.1560 0.1560 0.1164  2 Ti 2.68-2.69, 9 Al 2.72-2.97
Al: 0.4947 0.2473 0.0000  6 Al 2.73-2.83
Al: 0.7658 0.6067 0.1636  1 Ti 2.70, 7 Al 2.72-3.03
Al: 0.2473 0.4947 0.0000  6 Al 2.73-2.83
Al: 0.8409 0.6067 0.6636  1 Ti 2.70, 7 Al 2.72-3.03
Al: 0.6067 0.8409 0.6636  1 Ti 2.70, 7 Al 2.72-3.03
Al: 0.0000 0.8440 0.1164  2 Ti 2.68-2.69, 9 Al 2.72-2.97
Al: 0.0000 0.1469 0.2500  2 Ti 2.59, 10 Al 2.79-2.90
Al: 0.8505 0.4469 0.2500  1 Ti 2.67, 7 Al 2.75-2.84
Al: 0.7473 0.0000 0.5288  9 Al 2.73-2.96, 1 Ti 2.82
Al: 0.0000 0.8531 0.7500  2 Ti 2.59, 10 Al 2.79-2.90
Al: 0.2527 0.0000 0.4712  9 Al 2.73-2.96, 1 Ti 2.82
Al: 0.7527 0.2473 0.5000  6 Al 2.73-2.83
Al: 0.0000 0.2527 0.4712  9 Al 2.73-2.96, 1 Ti 2.82
Al: 0.2527 0.2527 0.9712  9 Al 2.73-2.96, 1 Ti 2.82
Al: 0.1495 0.5964 0.2500  1 Ti 2.67, 7 Al 2.75-2.84
Al: 0.0000 0.7473 0.5288  9 Al 2.73-2.96, 1 Ti 2.82
Al: 0.8409 0.6067 0.8364  1 Ti 2.70, 7 Al 2.72-3.03
Al: 0.5531 0.4036 0.2500  1 Ti 2.67, 7 Al 2.75-2.84
Al: 0.7527 0.5053 0.0000  6 Al 2.73-2.83
Al: 0.1560 0.0000 0.6164  2 Ti 2.68-2.69, 9 Al 2.72-2.97
Al: 0.2473 0.7527 0.5000  6 Al 2.73-2.83
Al: 0.2342 0.8409 0.1636  1 Ti 2.70, 7 Al 2.72-3.03
Al: 0.1591 0.3933 0.1636  1 Ti 2.70, 7 Al 2.72-3.03



# 5
LiYBr2: relaxed, GGA-PBEsol.

Results
Energy relative to the elements, uncorrected   -1116.7 meV/atom
Total magnetic moment   0.00 Bohr magnetons per cell
Density   4.91 Mg/m³

Cell lengths 3.5606, 3.5606, 6.8156 Å; angles 90.00, 90.00, 90.00 degrees
With the nearest neighbours (Å) after each atom.
Atoms (fractional coordinates):
Br: 0.0000 0.0000 0.2622  4 Y 2.99, 4 Li 3.09, 1 Br 3.24
Br: 0.0000 0.0000 0.7378  4 Y 2.99, 4 Li 3.09, 1 Br 3.24
Li: 0.5000 0.5000 0.0000  8 Br 3.09, 2 Y 3.41
Y: 0.5000 0.5000 0.5000  8 Br 2.99



# 6
SrY2As: relaxed, GGA-PBEsol.

Results
Calculated total energy   -5.623 eV per atom
Total magnetic moment   0.64 Bohr magnetons per cell
Density   4.53 Mg/m³

Cell lengths 4.0467, 4.9773, 6.6697 Å; angles 111.91, 90.00, 90.00 degrees
With the nearest neighbours (Å) after each atom.
Atoms (fractional coordinates):
Y: 0.0000 0.9278 0.8557  1 As 2.90
Y: 0.5000 0.3187 0.6373  2 As 2.80
As: 0.0000 0.1619 0.3237  3 Y 2.80-2.90
Sr: 0.5000 0.6116 0.2233  4 As 3.27, 3 Y 3.57-3.63



# 7
Li4MnNi3P4O16: relaxed, GGA-PBEsol.

Results
Energy relative to the elements, uncorrected   -1903.6 meV/atom
Total magnetic moment   10.79 Bohr magnetons per cell
Density   3.84 Mg/m³

Cell lengths 4.6717, 5.8827, 10.0444 Å; angles 90.00, 89.88, 90.00 degrees
With the nearest neighbours (Å) after each atom.
Atoms (fractional coordinates):
P: 0.5759 0.0000 0.0877  4 O 1.53-1.57
P: 0.0833 0.5000 0.4076  4 O 1.53-1.57
P: 0.9200 0.0000 0.5998  4 O 1.53-1.57
P: 0.4206 0.5000 0.9053  4 O 1.53-1.57
O: 0.7796 0.7899 0.6704  1 P 1.57
O: 0.2487 0.0000 0.0909  1 P 1.53
O: 0.7041 0.0000 0.9452  1 P 1.55
O: 0.2007 0.5000 0.5518  1 P 1.55
O: 0.7796 0.2101 0.6704  1 P 1.57
O: 0.7132 0.2092 0.1606  1 P 1.57
O: 0.7970 0.0000 0.4565  1 P 1.55
O: 0.7132 0.7908 0.1606  1 P 1.57
O: 0.7556 0.5000 0.4007  1 P 1.53
O: 0.2971 0.5000 0.0488  1 P 1.55
O: 0.2482 0.0000 0.6005  1 P 1.53
O: 0.2789 0.2915 0.8329  1 P 1.57
O: 0.2282 0.2937 0.3353  1 P 1.57
O: 0.2789 0.7085 0.8329  1 P 1.57
O: 0.2282 0.7063 0.3353  1 P 1.57
O: 0.7486 0.5000 0.9017  1 P 1.53
Ni: 0.4817 0.0000 0.7748  6 O 2.00-2.13
Ni: 0.9853 0.5000 0.7277  6 O 2.03-2.12
Ni: 0.5157 0.5000 0.2230  6 O 2.03-2.13
Mn: 0.0180 0.0000 0.2770  6 O 2.07-2.22
Li: 0.5024 0.7476 0.5057  6 O 2.08-2.15
Li: 0.9975 0.2499 0.9956  6 O 2.07-2.14
Li: 0.9975 0.7501 0.9956  6 O 2.07-2.14
Li: 0.5024 0.2524 0.5057  6 O 2.08-2.15



# 8
CaCdCo: relaxed, GGA-PBEsol.

Results
Calculated total energy   -3.478 eV per atom
Total magnetic moment   0.93 Bohr magnetons per cell
Density   5.92 Mg/m³

Cell lengths 3.3783, 3.3774, 5.7202 Å; angles 107.17, 107.18, 90.00 degrees
With the nearest neighbours (Å) after each atom.
Atoms (fractional coordinates):
Ca: 0.9889 0.9889 0.9778  5 Cd 2.99-3.25, 5 Co 3.03-3.34
Cd: 0.7011 0.7011 0.4023  4 Co 2.64
Co: 0.3100 0.3100 0.6200  4 Cd 2.64